Entry from OQMD via LeMat-Bulk: a geometry-optimized LaGdTl2Zn2 structure (PBE-GGA).

Unit cell a=4.7696 b=4.7696 c=7.6424 alpha=90.00 beta=90.00 gamma=120.00
Space group P3m1 (No. 156)
Unique sites:
La (0.0000, 0.0000, 0.0000)
Gd (0.0000, 0.0000, 0.5007)
Tl (0.3333, 0.6667, 0.7682)
Tl (0.6667, 0.3333, 0.2889)
Zn (0.3333, 0.6667, 0.2100)
Zn (0.6667, 0.3333, 0.6904)

As for the total DFT energy (no corrections): -3.186 eV per atom.

=====

Entry from OQMD via LeMat-Bulk: a geometry-optimized LaGdZn6 structure (PBE-GGA).

Unit cell a=4.7894 b=4.7894 c=6.7590 alpha=90.00 beta=90.00 gamma=90.00
Space group P4/mmm (No. 123)
Unique sites:
La (0.0000, 0.0000, 0.0000)
Gd (0.5000, 0.5000, 0.5000)
Zn (0.0000, 0.0000, 0.5000)
Zn (0.0000, 0.5000, 0.2610)
Zn (0.5000, 0.5000, 0.0000)

The formation energy is -0.28 eV per atom.

=====

Entry from OQMD via LeMat-Bulk: a geometry-optimized LaGdZn4 structure (PBE-GGA).

Unit cell a=4.5795 b=7.2996 c=7.6614 alpha=90.00 beta=90.00 gamma=90.00
Space group Imm2 (No. 44)
Unique sites:
La (0.0000, 0.0000, 0.0000)
Gd (0.0000, 0.5000, 0.0582)
Zn (0.0000, 0.2014, 0.3695)
Zn (0.0000, 0.2952, 0.7015)

The formation energy is -0.37 eV per atom.

=====

Entry from OQMD via LeMat-Bulk: a geometry-optimized LaGdZn6 structure (PBE-GGA).

Unit cell a=4.7885 b=6.7614 c=4.7903 alpha=90.00 beta=90.00 gamma=90.00
Space group Pmm2 (No. 25)
Unique sites:
La (0.0000, 0.0000, 0.0000)
Gd (0.5000, 0.5000, 0.4927)
Zn (0.0000, 0.2612, 0.5002)
Zn (0.0000, 0.5000, 0.9985)
Zn (0.5000, 0.0000, 0.4963)
Zn (0.5000, 0.2613, 0.9927)

The formation energy is -0.28 eV per atom.

=====

no.,calculated density (g/cm³)
1,9.22
2,7.38
3,7.23
4,7.37